No. 1
# NdTl3P2O8

A geometry-optimized NdTl3P2O8 structure (PBE-GGA, Alexandria via LeMat-Bulk).

Cell and atoms, written as POSCAR:
```
NdTl3P2O8
1.0
5.833 0.000 0.000
-2.917 5.052 0.000
0.000 0.000 8.314
Nd Tl P O
1 3 2 8
Cartesian
0.000 0.000 0.000
0.000 0.000 4.157
0.000 3.368 2.255
2.917 1.684 6.059
0.000 3.368 6.371
2.917 1.684 1.942
0.000 1.897 6.906
-1.274 4.103 6.906
0.000 3.368 4.834
1.643 0.948 1.407
1.274 4.103 6.906
2.917 1.684 3.480
4.191 0.948 1.407
2.917 3.155 1.407
```

Output
D(E_F)   0.00 states/eV/f.u.
Uncorrected formation energy   -2.114 eV/atom


No. 2
# BeRhSe2

A geometry-optimized BeRhSe2 structure (PBE-GGA, Alexandria via LeMat-Bulk).

Cell and atoms, written as POSCAR:
```
BeRhSe2
1.0
-1.630 1.860 6.463
1.630 -1.860 6.463
1.630 1.860 -6.463
Be Rh Se
1 1 2
Cartesian
0.000 0.000 0.000
0.000 0.000 6.463
1.630 0.000 1.678
0.000 1.860 4.786
```

Output
D(E_F)   1.21 states/eV/f.u.
Uncorrected formation energy   -0.364 eV/atom